Record 1
Ca2NdPtO6 | PBE-GGA | relaxed

Cell and atoms, written as CIF:
```
data_Ca2NdPtO6
_chemical_formula_sum 'Ca4 Nd2 Pt2 O12'
_cell_length_a 5.701
_cell_length_b 5.930
_cell_length_c 9.902
_cell_angle_alpha 90.00
_cell_angle_beta 124.12
_cell_angle_gamma 90.00
_space_group_name_H-M_alt 'P 1 21/c 1'
_space_group_IT_number 14
_space_group_name_Hall '-P 2ybc'
loop_
_atom_site_label
_atom_site_type_symbol
_atom_site_fract_x
_atom_site_fract_y
_atom_site_fract_z
Ca1 Ca 0.230 0.057 0.251
Nd1 Nd 0.500 0.000 0.000
Pt1 Pt 0.000 0.000 0.500
O1 O 0.103 0.219 0.929
O2 O 0.221 0.685 0.938
O3 O 0.350 0.056 0.727
```

---

Record 2
CaNd2PuO8 | PBE-GGA | relaxed

Cell and atoms, written as CIF:
```
data_CaNd2PuO8
_chemical_formula_sum 'Ca1 Nd2 Pu1 O8'
_cell_length_a 4.137
_cell_length_b 7.632
_cell_length_c 5.442
_cell_angle_alpha 90.00
_cell_angle_beta 96.65
_cell_angle_gamma 90.00
_space_group_name_H-M_alt 'P 1 2/m 1'
_space_group_IT_number 10
_space_group_name_Hall '-P 2y'
loop_
_atom_site_label
_atom_site_type_symbol
_atom_site_fract_x
_atom_site_fract_y
_atom_site_fract_z
Ca1 Ca 0.000 0.000 0.000
Nd1 Nd 0.500 0.247 0.500
Pu1 Pu 0.000 0.500 0.000
O1 O 0.048 0.293 0.767
O2 O 0.428 0.500 0.215
O3 O 0.490 0.000 0.253
```

---

Record 3
CaNdPuO6 | PBE-GGA | relaxed

Cell and atoms, written as CIF:
```
data_CaNdPuO6
_chemical_formula_sum 'Ca2 Nd2 Pu2 O12'
_cell_length_a 5.7581
_cell_length_b 5.7581
_cell_length_c 9.7384
_cell_angle_alpha 90.00
_cell_angle_beta 90.00
_cell_angle_gamma 120.00
_space_group_name_H-M_alt 'P -3 1 c'
_space_group_IT_number 163
_space_group_name_Hall '-P 3 2c'
loop_
_atom_site_label
_atom_site_type_symbol
_atom_site_fract_x
_atom_site_fract_y
_atom_site_fract_z
Ca1 Ca 0.3333 0.6667 0.2500
Nd1 Nd 0.0000 0.0000 0.0000
Pu1 Pu 0.3333 0.6667 0.7500
O1 O 0.0426 0.3717 0.6359
```

---

Record 4
RbCaNdO3 | PBE-GGA | relaxed

Cell and atoms, written as CIF:
```
data_RbCaNdO3
_chemical_formula_sum 'Rb2 Ca2 Nd2 O6'
_cell_length_a 7.833
_cell_length_b 3.624
_cell_length_c 10.129
_cell_angle_alpha 90.00
_cell_angle_beta 92.65
_cell_angle_gamma 90.00
_space_group_name_H-M_alt 'P 1 21/m 1'
_space_group_IT_number 11
_space_group_name_Hall '-P 2yb'
loop_
_atom_site_label
_atom_site_type_symbol
_atom_site_fract_x
_atom_site_fract_y
_atom_site_fract_z
Rb1 Rb 0.132 0.250 0.210
Ca1 Ca 0.153 0.250 0.563
Nd1 Nd 0.395 0.750 0.869
O1 O 0.139 0.750 0.436
O2 O 0.239 0.250 0.784
O3 O 0.394 0.750 0.090
```

---

Number 1: uncorrected formation energy -2.17 eV per atom. Number 2: uncorrected formation energy -2.73 eV per atom. Number 3: uncorrected formation energy -2.82 eV per atom. Number 4: uncorrected formation energy -2.49 eV per atom.